The following is a PBE calculation of Sm2Tm3Al after structural relaxation, from Alexandria via LeMat-Bulk.

Structure (POSCAR):
```
Sm2Tm3Al
1.0
-2.2069 -4.2937 -0.2448
3.0212 -1.3560 -3.4513
3.1347 -2.0015 6.8448
Sm Tm Al
2 3 1
Cartesian
2.9888 -1.5306 -0.0967 Sm
3.1671 -1.8269 3.4902 Sm
0.4085 -3.0190 1.5437 Tm
0.4072 -2.8249 -1.8481 Tm
3.5405 -4.6323 1.6049 Tm
0.0000 0.0000 0.0000 Al
```

Summary:
* SG: No. 65
* ΔE_f: -87 meV/atom
* magnetic moment: 0.00 μB/f.u.